# MnSi2Mo

Crystalline MnSi2Mo at its relaxed geometry (PBE, Alexandria).

Raw formation energy: -0.94 eV/f.u.
SG: Amm2
Size of the total moment: 0.000 μB per atom
Crystal system: orthorhombic
V: 52.5 Å³ per cell
Fermi-level density of states: 2.56 states/eV/cell

```
data_MnSi2Mo
_chemical_formula_sum 'Mn1 Si2 Mo1'
_cell_length_a 3.968
_cell_length_b 3.041
_cell_length_c 4.608
_cell_angle_alpha 70.75
_cell_angle_beta 90.00
_cell_angle_gamma 90.00
_space_group_name_H-M_alt 'P 1'
_space_group_IT_number 1
_space_group_name_Hall 'P 1'
loop_
_atom_site_label
_atom_site_type_symbol
_atom_site_fract_x
_atom_site_fract_y
_atom_site_fract_z
_atom_site_occupancy
Si1 Si 0.000 0.212 0.951 1
Mn1 Mn 0.000 0.492 0.392 1
Mo1 Mo 0.500 0.762 0.851 1
Si2 Si 0.500 0.034 0.306 1
```